DFT (PBE) results for a relaxed ZnAs2PbBr crystal.

The space group is P4/mmm (No. 123) and the conventional cell measures 4.828, 4.828 and 5.615 Å, with angles of 90.00, 90.00 and 90.00 degrees. The asymmetric unit holds Zn at (0.000, 0.000, 0.000), As at (0.000, 0.500, 0.000), Pb at (0.500, 0.500, 0.500) and Br at (0.000, 0.000, 0.500).

The raw total energy is -14.8 eV per cell. The calculation puts the spin magnetization at 0.124 μB/atom. The relative energy among the computed polymorphs comes out at 0.00 eV per formula unit.